(1)
The following is a PBE calculation of a relaxed structure of Al2RePb, from the Alexandria database.

Cell lengths 5.105, 5.105, 2.861 Å; angles 90.00, 90.00, 105.17 degrees
Fractional positions:
1 Al 0.000 0.500 0.000
2 Al 0.500 0.000 0.000
3 Re 0.000 0.000 0.500
4 Pb 0.500 0.500 0.500

Computed properties:
* crystal system: orthorhombic
* calculated volume: 17.99 Å³/atom
* electronic total energy: -21.5 eV for the cell shown


(2)
The following is a PBE calculation of a relaxed structure of AlRePb2, from the Alexandria database.

Cell lengths 7.083, 7.083, 7.083 Å; angles 154.66, 141.45, 46.70 degrees
Fractional positions:
1 Al 0.000 0.000 0.000
2 Re 0.837 0.337 0.500
3 Pb 0.322 0.822 0.500
4 Pb 0.623 0.623 0.000

Computed properties:
* crystal system: orthorhombic
* calculated volume: 23.62 Å³/atom
* electronic total energy: -21.0 eV for the cell shown


(3)
The following is a PBE calculation of a relaxed structure of AlRePb, from the Alexandria database.

Cell lengths 3.144, 3.144, 6.795 Å; angles 90.00, 90.00, 120.00 degrees
Fractional positions:
1 Al 0.000 0.000 0.000
2 Re 0.333 0.667 0.733
3 Pb 0.667 0.333 0.394

Computed properties:
* crystal system: trigonal
* calculated volume: 19.39 Å³/atom
* energy above the most stable polymorph in this dataset: 0.145 eV/atom


(4)
The following is a PBE calculation of a relaxed structure of AlRePb2, from the Alexandria database.

Cell lengths 4.669, 4.669, 6.903 Å; angles 99.91, 99.91, 40.98 degrees
Fractional positions:
1 Al 0.000 0.000 0.000
2 Re 0.724 0.724 0.077
3 Pb 0.237 0.237 0.721
4 Pb 0.447 0.447 0.346

Computed properties:
* crystal system: monoclinic
* calculated volume: 24.25 Å³/atom
* electronic total energy: -21.5 eV for the cell shown


(5)
The following is a PBE calculation of a relaxed structure of AlRePb2, from the Alexandria database.

Cell lengths 7.911, 7.911, 4.155 Å; angles 105.16, 105.16, 23.00 degrees
Fractional positions:
1 Al 0.000 0.000 0.000
2 Re 0.500 0.500 0.500
3 Pb 0.165 0.165 0.665
4 Pb 0.835 0.835 0.335

Computed properties:
* crystal system: monoclinic
* calculated volume: 24.48 Å³/atom
* electronic total energy: -22.0 eV for the cell shown


(6)
The following is a PBE calculation of a relaxed structure of AlRePb2, from the Alexandria database.

Cell lengths 5.170, 5.170, 5.170 Å; angles 127.36, 127.36, 77.66 degrees
Fractional positions:
1 Al 0.000 0.000 0.000
2 Re 0.500 0.500 0.000
3 Pb 0.250 0.750 0.500
4 Pb 0.750 0.250 0.500

Computed properties:
* crystal system: tetragonal
* calculated volume: 21.16 Å³/atom
* electronic total energy: -19.9 eV for the cell shown


(7)
The following is a PBE calculation of a relaxed structure of Al2RePb, from the Alexandria database.

Cell lengths 4.598, 4.598, 3.325 Å; angles 90.00, 90.00, 90.00 degrees
Fractional positions:
1 Al 0.000 0.500 0.000
2 Al 0.500 0.000 0.000
3 Re 0.000 0.000 0.500
4 Pb 0.500 0.500 0.500

Computed properties:
* crystal system: tetragonal
* calculated volume: 17.58 Å³/atom
* electronic total energy: -21.6 eV for the cell shown


(8)
The following is a PBE calculation of a relaxed structure of AlRe2Pb, from the Alexandria database.

Cell lengths 9.770, 9.770, 9.770 Å; angles 155.51, 155.51, 34.91 degrees
Fractional positions:
1 Al 0.000 0.000 0.000
2 Al 0.750 0.250 0.500
3 Re 0.033 0.625 0.908
4 Re 0.375 0.283 0.408
5 Re 0.717 0.125 0.092
6 Re 0.875 0.967 0.592
7 Pb 0.250 0.750 0.500
8 Pb 0.500 0.500 0.000

Computed properties:
* crystal system: tetragonal
* calculated volume: 20.01 Å³/atom
* energy above the most stable polymorph in this dataset: 0.504 eV/atom


(9)
The following is a PBE calculation of a relaxed structure of AlRe2Pb, from the Alexandria database.

Cell lengths 2.831, 2.831, 9.540 Å; angles 90.00, 90.00, 111.72 degrees
Fractional positions:
1 Al 0.000 0.000 0.000
2 Re 0.500 0.500 0.215
3 Re 0.500 0.500 0.785
4 Pb 0.000 0.000 0.500

Computed properties:
* crystal system: orthorhombic
* calculated volume: 17.75 Å³/atom
* energy above the most stable polymorph in this dataset: 0.513 eV/atom


(10)
The following is a PBE calculation of a relaxed structure of Al2RePb, from the Alexandria database.

Cell lengths 3.413, 4.564, 4.616 Å; angles 90.00, 90.00, 90.00 degrees
Fractional positions:
1 Al 0.000 0.000 0.000
2 Al 0.500 0.000 0.500
3 Re 0.000 0.500 0.500
4 Pb 0.500 0.500 0.000

Computed properties:
* crystal system: orthorhombic
* calculated volume: 17.98 Å³/atom
* electronic total energy: -21.1 eV for the cell shown


(11)
The following is a PBE calculation of a relaxed structure of Al2RePb, from the Alexandria database.

Cell lengths 3.461, 4.296, 5.388 Å; angles 90.00, 108.37, 90.00 degrees
Fractional positions:
1 Al 0.000 0.000 0.000
2 Al 0.426 0.500 0.850
3 Re 0.300 0.000 0.596
4 Pb 0.696 0.500 0.380

Computed properties:
* crystal system: monoclinic
* calculated volume: 19.00 Å³/atom
* electronic total energy: -22.3 eV for the cell shown


(12)
The following is a PBE calculation of a relaxed structure of Al2RePb, from the Alexandria database.

Cell lengths 9.725, 9.725, 9.725 Å; angles 18.07, 18.07, 18.07 degrees
Fractional positions:
1 Al 0.234 0.234 0.234
2 Al 0.766 0.766 0.766
3 Re 0.500 0.500 0.500
4 Pb 0.000 0.000 0.000

Computed properties:
* crystal system: trigonal
* calculated volume: 19.31 Å³/atom
* electronic total energy: -22.7 eV for the cell shown


The lowest calculated volume belongs to which entry? number 7